Entry from the Alexandria database: a geometry-optimized Pm2TmPd3 structure (PBE).

The structure in CIF format:
```
data_Pm2TmPd3
_chemical_formula_sum 'Pm4 Tm2 Pd6'
_symmetry_space_group_name_H-M 'P 1'
_symmetry_Int_Tables_number 1
_cell_length_a 5.9513
_cell_length_b 8.5929
_cell_length_c 6.7247
_cell_angle_alpha 108.49
_cell_angle_beta 116.26
_cell_angle_gamma 90.00
loop_
_symmetry_equiv_pos_as_xyz
'x,y,z'
loop_
_atom_site_label
_atom_site_fract_x
_atom_site_fract_y
_atom_site_fract_z
Pm1 0.6969 0.5851 0.3555
Pm2 0.6586 0.0851 0.3555
Pm3 0.3414 0.9149 0.6445
Pm4 0.3031 0.4149 0.6445
Tm1 0.8589 0.7500 0.0000
Tm2 0.1411 0.2500 0.0000
Pd1 0.6381 0.2500 0.0000
Pd2 0.3619 0.7500 0.0000
Pd3 0.1117 0.0745 0.2726
Pd4 0.8392 0.4255 0.7274
Pd5 0.1608 0.5745 0.2726
Pd6 0.8883 0.9255 0.7274
```

Properties
Formation energy from the elements = -0.712 eV/atom
Symmetry = C2/c, No. 15
E above lowest polymorph = 114 meV per atom